Th3HgTe6 | PBE | optimized geometry

a b c (Å): 9.587 9.587 7.742
angles (deg): 90.00 90.00 100.41
Fractional coordinates of all 20 atoms:
Th 0.095 0.905 0.500
Th 0.221 0.429 0.380
Th 0.429 0.221 0.880
Th 0.571 0.779 0.380
Th 0.779 0.571 0.880
Th 0.905 0.095 0.000
Hg 0.145 0.855 0.903
Hg 0.855 0.145 0.403
Te 0.031 0.583 0.618
Te 0.131 0.212 0.697
Te 0.212 0.131 0.197
Te 0.264 0.736 0.232
Te 0.417 0.969 0.618
Te 0.472 0.528 0.658
Te 0.528 0.472 0.158
Te 0.583 0.031 0.118
Te 0.736 0.264 0.732
Te 0.788 0.869 0.697
Te 0.869 0.788 0.197
Te 0.969 0.417 0.118

Calculated values
DOS at the Fermi energy	0.39	states/eV per cell
theoretical density	7889	kg/m3
raw total energy	-5.1814	eV/atom
M_tot	0.0	μB per cell